The following is a DFT calculation (PBE-GGA) of a geometry-optimized MnTeMo2 structure.

Cell lengths 3.0674, 3.0674, 24.7447 Å; angles 90.00, 90.00, 120.00 degrees
Space group R-3m (No. 166, hexagonal axes)
Inequivalent atoms, fractional coordinates:
Mn1 0.0000 0.0000 0.0000
Te1 0.0000 0.0000 0.5000
Mo1 0.0000 0.0000 0.2564

Summary:
ΔE_f (raw): 2.27 eV/f.u.
Uncorrected energy: -7.92 eV per atom